A geometry-optimized Np2GaCo3As4 structure. Source: Alexandria, functional PBE.

Cell lengths 4.2161, 4.2161, 9.3632 Å; angles 90.00, 90.00, 90.00 degrees
Closest atoms and distances in Å follow each position.
Sites, in units of the cell vectors:
1 As 0.5000 0.0000 0.6484  3 Co 2.28-2.52, 2 Ga 2.52
2 As 0.0000 0.0000 0.0000  4 Co 2.34
3 As 0.5000 0.5000 0.0000  4 Co 2.34
4 As 0.0000 0.5000 0.3516  3 Co 2.28-2.52, 2 Ga 2.52
5 Np 0.5000 0.0000 0.2433  8 As 3.10-3.15, 2 Ga 3.20, 7 Co 3.20-3.29
6 Np 0.0000 0.5000 0.7567  8 As 3.10-3.15, 7 Co 3.20-3.29, 2 Ga 3.20
7 Co 0.5000 0.0000 0.8917  5 As 2.28-2.34
8 Co 0.0000 0.5000 0.1083  5 As 2.28-2.34
9 Co 0.0000 0.0000 0.5000  4 As 2.52
10 Ga 0.5000 0.5000 0.5000  4 As 2.52

Total magnetic moment   7.032 Bohr magnetons per cell
DFT total energy   -72.1 eV per cell